CrCdHgF2 (GGA+U, optimized geometry); final energy = -3.879 eV/atom; calculated volume = 106 Å³/cell
1.0
4.037 0.000 0.000
0.000 4.037 0.000
0.000 0.000 6.494
Cr Cd Hg F
1 1 1 2
direct
0.000 0.000 0.000
0.500 0.500 0.500
0.000 0.000 0.500
0.000 0.500 0.000
0.500 0.000 0.000